Material: Pu2Tc3Ge5
Method: DFT, GGA-PBE
State: optimized geometry

abc: 8.5995 8.5995 8.5995
angles: 110.32 83.09 140.62
Last column: nearest neighbours and their distance in Å.
Atoms (fractional coordinates):
Pu 0.1399 0.2320 0.3719  7 Ge 3.01-3.25, 4 Tc 3.07-3.26
Pu 0.3601 0.7320 0.0921  7 Ge 3.01-3.25, 4 Tc 3.07-3.26
Pu 0.6399 0.2680 0.9079  7 Ge 3.01-3.25, 4 Tc 3.07-3.26
Pu 0.8601 0.7680 0.6281  7 Ge 3.01-3.25, 4 Tc 3.07-3.26
Tc 0.1513 0.9200 0.0713  5 Ge 2.46-2.55
Tc 0.2500 0.7500 0.5000  6 Ge 2.57-2.60
Tc 0.3487 0.4200 0.7688  5 Ge 2.46-2.55
Tc 0.6513 0.5800 0.2312  5 Ge 2.46-2.55
Tc 0.7500 0.2500 0.5000  6 Ge 2.57-2.60
Tc 0.8487 0.0799 0.9287  5 Ge 2.46-2.55
Ge 0.0479 0.7500 0.2979  3 Tc 2.51-2.60, 2 Ge 2.77
Ge 0.0854 0.6849 0.7703  3 Tc 2.46-2.57
Ge 0.2500 0.2500 0.0000  4 Tc 2.55
Ge 0.4146 0.1849 0.5996  3 Tc 2.46-2.57
Ge 0.4521 0.7500 0.7021  3 Tc 2.51-2.60, 2 Ge 2.77
Ge 0.5479 0.2500 0.2979  3 Tc 2.51-2.60, 2 Ge 2.77
Ge 0.5854 0.8151 0.4004  3 Tc 2.46-2.57
Ge 0.7500 0.7500 0.0000  4 Tc 2.55
Ge 0.9146 0.3151 0.2297  3 Tc 2.46-2.57
Ge 0.9521 0.2500 0.7021  3 Tc 2.51-2.60, 2 Ge 2.77

Calculated density ... 10.4 Mg/m³
ΔE_f ... -0.3234 eV/atom
VASP energy ... -8.61 eV per atom
Crystal system ... orthorhombic